Entry 1:
# CdTc2Ru PBE-GGA relaxed
data_CdTc2Ru
_symmetry_space_group_name_H-M 'P 1 2/m 1'
_symmetry_Int_Tables_number 10
_cell_length_a 2.7913
_cell_length_b 4.0298
_cell_length_c 5.6508
_cell_angle_alpha 90.00
_cell_angle_beta 90.09
_cell_angle_gamma 90.00
loop_
_symmetry_equiv_pos_as_xyz
'x,y,z'
'-x,-y,-z'
'-x,y,-z'
'x,-y,z'
loop_
_atom_site_label
_atom_site_fract_x
_atom_site_fract_y
_atom_site_fract_z
_atom_site_occupancy
Cd1 0.0000 0.0000 0.0000 1
Tc1 0.4989 0.5000 0.2881 1
Ru1 0.0000 0.0000 0.5000 1
# Magnetic moment, μB per formula unit: 0.000
# ΔE_f, eV per atom: 0.3224

=====

Entry 2:
# PmPr2Zr PBE-GGA relaxed
data_PmPr2Zr
_symmetry_space_group_name_H-M 'R -3 m'
_symmetry_Int_Tables_number 166
_symmetry_space_group_name_Hall '-R 3 2"'
_cell_length_a 3.4545
_cell_length_b 3.4545
_cell_length_c 37.0154
_cell_angle_alpha 90.00
_cell_angle_beta 90.00
_cell_angle_gamma 120.00
loop_
_atom_site_label
_atom_site_fract_x
_atom_site_fract_y
_atom_site_fract_z
_atom_site_occupancy
Pm1 0.0000 0.0000 0.0000 1
Pr1 0.0000 0.0000 0.4156 1
Zr1 0.0000 0.0000 0.5000 1
# Magnetic moment, μB per formula unit: 0.000
# ΔE_f, eV per atom: 0.3384